[1]
## Dy2ThTl (PBE-GGA)

Data for a relaxed Dy2ThTl crystal.

The density of states at the Fermi level is 34.0 states/eV per cell. The value obtained for the formation energy is 0.07 eV/atom. As for the density: 10914 kg/m3. The calculation puts the energy above the most stable polymorph in this dataset at 98.7 kJ/mol of formula units.

The space group is Fm-3m (No. 225) and the conventional cell measures 7.738, 7.738 and 7.738 Å, with angles of 90.00, 90.00 and 90.00 degrees. The asymmetric unit holds Dy at (0.250, 0.250, 0.250), Th at (0.000, 0.000, 0.000) and Tl at (0.000, 0.000, 0.500).

---

[2]
## Dy2ThTl9 (PBE-GGA)

Data for a relaxed Dy2ThTl9 crystal.

The density of states at the Fermi level is 4.6 states/eV per cell. The value obtained for the formation energy is -0.21 eV/atom. As for the density: 12153 kg/m3.

The space group is P4/mmm (No. 123) and the conventional cell measures 4.781, 4.781 and 14.325 Å, with angles of 90.00, 90.00 and 90.00 degrees. The asymmetric unit holds Dy at (0.000, 0.000, 0.166), Th at (0.000, 0.000, 0.500), Tl at (0.000, 0.500, 0.000), Tl at (0.000, 0.500, 0.329), Tl at (0.500, 0.500, 0.164) and Tl at (0.500, 0.500, 0.500).

---

[3]
## DyThTl (PBE-GGA)

Data for a relaxed DyThTl crystal.

The density of states at the Fermi level is 8.8 states/eV per cell. The value obtained for the formation energy is -0.17 eV/atom. As for the density: 11384 kg/m3. The calculation puts the energy above the most stable polymorph in this dataset at 0.0 kJ/mol of formula units.

The space group is P6_3/mmc (No. 194) and the conventional cell measures 5.5192, 5.5192 and 6.6234 Å, with angles of 90.00, 90.00 and 120.00 degrees. The asymmetric unit holds Dy at (0.3333, 0.6667, 0.2500), Th at (0.0000, 0.0000, 0.0000) and Tl at (0.3333, 0.6667, 0.7500).

---

Total magnetic moment in μB/f.u., matching the order above: 0.00; 0.00; 0.00